Entry 1:
First-principles (PBE) data for a relaxed LiSi2Au crystal, as listed in Alexandria via LeMat-Bulk.

Cell lengths 2.7956, 2.7956, 8.1305 Å; angles 90.00, 90.00, 99.21 degrees
Atoms (fractional coordinates):
Li: 0.0000 0.0000 0.0000
Si: 0.0000 0.0000 0.4727
Si: 0.5000 0.5000 0.2483
Au: 0.5000 0.5000 0.7554

Total magnetic moment, μB/cell: 0.0
Fermi-level density of states, states/eV per atom: 0.249
Crystal system: orthorhombic
ΔE_f (raw), eV/atom: 0.0703
Mass density, g/cm³: 6.9
Energy relative to the lowest polymorph listed for this composition, meV per atom: 172
Energy, eV for the cell shown: -15.76


Entry 2:
First-principles (PBE) data for a relaxed Pr2Nd3Sm5 crystal, as listed in Alexandria via LeMat-Bulk.

Cell lengths 12.5905, 12.5905, 12.5905 Å; angles 135.18, 56.17, 147.92 degrees
Atoms (fractional coordinates):
Pr: 0.1257 0.1007 0.2263
Pr: 0.3743 0.6007 0.9750
Pr: 0.6257 0.3993 0.0250
Pr: 0.8743 0.8993 0.7737
Nd: 0.1279 0.7490 0.8769
Nd: 0.2500 0.2500 0.0000
Nd: 0.3721 0.2490 0.6211
Nd: 0.6279 0.7510 0.3789
Nd: 0.7500 0.7500 0.0000
Nd: 0.8721 0.2510 0.1231
Sm: 0.0006 0.7500 0.2506
Sm: 0.1250 0.4089 0.5339
Sm: 0.2500 0.7500 0.5000
Sm: 0.3750 0.9089 0.2838
Sm: 0.4994 0.7500 0.7494
Sm: 0.5006 0.2500 0.2506
Sm: 0.6250 0.0911 0.7162
Sm: 0.7500 0.2500 0.5000
Sm: 0.8750 0.5911 0.4661
Sm: 0.9994 0.2500 0.7494

Total magnetic moment, μB/cell: 0.0
Fermi-level density of states, states/eV per atom: 1.511
Crystal system: orthorhombic
Formation energy from the elements, eV per atom: 0.3558
Mass density, g/cm³: 6.6
Energy relative to the lowest polymorph listed for this composition, meV per atom: 182
Energy, eV for the cell shown: -87.80


Entry 3:
First-principles (PBE) data for a relaxed Na2SrTcSe crystal, as listed in Alexandria via LeMat-Bulk.

Cell lengths 5.4752, 5.4752, 4.7571 Å; angles 90.00, 90.00, 90.00 degrees
Atoms (fractional coordinates):
Na: 0.0000 0.5000 0.0000
Na: 0.5000 0.0000 0.0000
Sr: 0.0000 0.0000 0.5000
Tc: 0.5000 0.5000 0.5000
Se: 0.5000 0.5000 0.0000

Total magnetic moment, μB/cell: 1.4
Fermi-level density of states, states/eV per atom: 0.619
Crystal system: tetragonal
ΔE_f (raw), eV/atom: 0.1887
Mass density, g/cm³: 3.6
Energy, eV for the cell shown: -17.23


Entry 4:
First-principles (PBE) data for a relaxed NaHfBr6 crystal, as listed in Alexandria via LeMat-Bulk.

Cell lengths 7.1421, 7.1514, 7.3593 Å; angles 61.40, 61.38, 60.12 degrees
Atoms (fractional coordinates):
Na: 0.0000 0.0000 0.0000
Hf: 0.5000 0.5000 0.5000
Br: 0.1085 0.4421 0.7424
Br: 0.2906 0.8937 0.2620
Br: 0.4464 0.7032 0.7463
Br: 0.5536 0.2968 0.2537
Br: 0.7094 0.1063 0.7380
Br: 0.8915 0.5579 0.2576

Total magnetic moment, μB/cell: 1.0
Fermi-level density of states, states/eV per atom: 1.515
Crystal system: triclinic
ΔE_f (raw), eV/atom: -1.1558
Mass density, g/cm³: 4.2
Energy, eV for the cell shown: -30.56